Record 1
Density functional theory data (PBE) for LaZrSc3 after structural relaxation.

a = 5.299 Å, b = 5.299 Å, c = 5.299 Å
α = 90.00°, β = 90.00°, γ = 90.00°
Fractional positions:
1 Sc 0.000 0.500 0.000
2 Sc 0.000 0.000 0.500
3 Sc 0.500 0.000 0.000
4 Zr 0.000 0.000 0.000
5 La 0.500 0.500 0.500

Computed properties:
Its crystal system is cubic. The value obtained for the polymorph energy (0 for the lowest one) is 0.0 meV per atom. The density is 4.1 g cm⁻³. The calculation puts the energy of formation from the pure elements at 473 meV per atom. The space group is Pm-3m (221). For the volume, the calculation gives 148.8 Å³ per cell.

---

Record 2
Density functional theory data (PBE) for Li4SbPd2 after structural relaxation.

a = 4.832 Å, b = 4.832 Å, c = 7.358 Å
α = 70.83°, β = 70.83°, γ = 90.00°
Fractional positions:
1 Sb 0.000 0.000 0.000
2 Pd 0.398 0.398 0.205
3 Pd 0.602 0.602 0.795
4 Li 0.205 0.205 0.591
5 Li 0.795 0.795 0.409
6 Li 0.000 0.500 0.000
7 Li 0.500 0.000 0.000

Computed properties:
Its crystal system is tetragonal. The density is 4.0 g cm⁻³. The formation energy (no corrections) is 69 meV per atom. The space group is I4/mmm (139). For the volume, the calculation gives 152.1 Å³ per cell.

---

Record 3
Density functional theory data (PBE) for Zr2Ga2As after structural relaxation.

a = 7.010 Å, b = 7.010 Å, c = 3.922 Å
α = 90.00°, β = 90.00°, γ = 90.00°
Fractional positions:
1 As 0.000 0.000 0.000
2 As 0.500 0.500 0.000
3 Ga 0.375 0.875 0.000
4 Ga 0.875 0.625 0.000
5 Ga 0.625 0.125 0.000
6 Ga 0.125 0.375 0.000
7 Zr 0.179 0.679 0.500
8 Zr 0.679 0.821 0.500
9 Zr 0.821 0.321 0.500
10 Zr 0.321 0.179 0.500

Computed properties:
Its crystal system is tetragonal. The value obtained for the polymorph energy (0 for the lowest one) is 195.3 meV per atom. The density is 6.8 g cm⁻³. The calculation puts the energy of formation from the pure elements at -403 meV per atom. The space group is P4/mbm (127). For the volume, the calculation gives 192.7 Å³ per cell.

---

Record 4
Density functional theory data (PBE) for NaCa3Rh after structural relaxation.

a = 5.567 Å, b = 7.814 Å, c = 7.951 Å
α = 90.00°, β = 90.02°, γ = 90.00°
Fractional positions:
1 Na 0.500 0.250 0.500
2 Na 0.500 0.750 0.500
3 Ca 0.000 0.000 0.750
4 Ca 0.000 0.000 0.250
5 Ca 0.000 0.500 0.750
6 Ca 0.000 0.500 0.250
7 Ca 0.500 0.250 0.000
8 Ca 0.500 0.750 0.000
9 Rh 0.000 0.250 0.000
10 Rh 0.000 0.750 0.000

Computed properties:
Its crystal system is orthorhombic. The value obtained for the polymorph energy (0 for the lowest one) is 30.8 meV per atom. The density is 2.4 g cm⁻³. The calculation puts the energy of formation from the pure elements at -173 meV per atom. The space group is Pmmm (47). For the volume, the calculation gives 345.8 Å³ per cell.

---

Record 5
Density functional theory data (PBE) for NiBr2N after structural relaxation.

a = 7.473 Å, b = 7.473 Å, c = 7.473 Å
α = 27.93°, β = 27.93°, γ = 27.93°
Fractional positions:
1 Ni 0.000 0.000 0.000
2 Br 0.898 0.898 0.898
3 Br 0.102 0.102 0.102
4 N 0.500 0.500 0.500

Computed properties:
Its crystal system is trigonal. The value obtained for the polymorph energy (0 for the lowest one) is 237.6 meV per atom. The density is 4.8 g cm⁻³. The formation energy (no corrections) is 1477 meV per atom. The space group is R-3m (166). For the volume, the calculation gives 80.9 Å³ per cell.

---

Record 6
Density functional theory data (PBE) for LaAl11Pd after structural relaxation.

a = 5.263 Å, b = 7.387 Å, c = 6.865 Å
α = 82.47°, β = 67.46°, γ = 70.00°
Fractional positions:
1 La 0.000 0.000 0.000
2 Al 0.280 0.229 0.221
3 Al 0.720 0.771 0.779
4 Al 0.500 0.771 0.221
5 Al 0.500 0.229 0.779
6 Al 0.353 0.643 0.646
7 Al 0.647 0.357 0.354
8 Al 0.002 0.357 0.646
9 Al 0.998 0.643 0.354
10 Al 0.000 0.500 0.000
11 Al 0.500 0.000 0.500
12 Al 0.000 0.000 0.500
13 Pd 0.500 0.500 0.000

Computed properties:
Its crystal system is monoclinic. The density is 3.9 g cm⁻³. The calculation puts the energy of formation from the pure elements at -271 meV per atom. The space group is C2/m (12). For the volume, the calculation gives 231.7 Å³ per cell.

---

> volume of number 5 (NiBr2N)?

80.9 Å³ per cell